## MnSe2SBr (GGA-PBE)

Data for an optimized crystal structure of MnSe2SBr.

Cell: 4.614 4.614 4.917 Å, 90.00 90.00 90.00°
Fractional positions:
S 0.500 0.500 0.500
Mn 0.000 0.000 0.000
Se 0.000 0.500 0.000
Se 0.500 0.000 0.000
Br 0.000 0.000 0.500

Calculated values
Magnetic moment   0.00 μB/f.u.
Energy relative to the elements, uncorrected   0.557 eV/atom
Distance to the lowest polymorph of the same formula   0.013 eV/atom
Total energy   -3.831 eV/atom